Below is a relaxed structure of Sr2Li3Sb4Pb, with properties calculated at the PBE level.

Cell: 4.7592 4.7592 12.3523 Å, 90.00 90.00 90.00°
With the nearest neighbours (Å) after each atom.
Fractional coordinates of all 10 atoms:
Sr (0.0000, 0.5000, 0.2214)  4 Li 3.59, 8 Sb 3.62-3.65
Sr (0.5000, 0.0000, 0.7786)  4 Li 3.59, 8 Sb 3.62-3.65
Li (0.0000, 0.5000, 0.8805)  5 Sb 2.67-2.80
Li (0.5000, 0.0000, 0.1195)  5 Sb 2.67-2.80
Li (0.5000, 0.5000, 0.5000)  4 Sb 3.13, 4 Pb 3.37
Sb (0.0000, 0.0000, 0.0000)  4 Li 2.80
Sb (0.0000, 0.5000, 0.6646)  1 Li 2.67
Sb (0.5000, 0.0000, 0.3354)  1 Li 2.67
Sb (0.5000, 0.5000, 0.0000)  4 Li 2.80
Pb (0.0000, 0.0000, 0.5000)  4 Sb 3.13, 4 Li 3.37

Output
- formation energy without anion corrections (eV per atom) = -0.6284
- Fermi-level density of states (states/eV/cell) = 1.93

=====

Below is a relaxed structure of LaReHg2, with properties calculated at the PBE level.

Cell: 3.1186 4.9347 6.0009 Å, 90.00 90.00 90.00°
With the nearest neighbours (Å) after each atom.
Fractional coordinates of all 4 atoms:
La (0.0000, 0.0000, 0.0000)  2 La 3.12, 4 Re 3.23, 8 Hg 3.28-3.49
Re (0.5000, 0.5000, 0.7684)  4 Hg 2.88-3.01, 2 Re 3.12
Hg (0.5000, 0.0000, 0.5199)  2 Re 2.88, 4 Hg 2.89-3.12
Hg (0.5000, 0.5000, 0.2699)  4 Hg 2.89-3.12, 2 Re 2.99-3.01

Output
- Fermi-level density of states (states/eV/cell) = 3.89

=====

Below is a relaxed structure of Rb3Nd3ZrS8, with properties calculated at the PBE level.

Cell: 9.1733 9.1733 9.1733 Å, 53.17 53.17 53.17°
With the nearest neighbours (Å) after each atom.
Fractional coordinates of all 15 atoms:
Rb (0.0000, 0.5000, 0.5000)  6 S 3.35-3.37
Rb (0.5000, 0.0000, 0.5000)  6 S 3.35-3.37
Rb (0.5000, 0.5000, 0.0000)  6 S 3.35-3.37
Nd (0.0000, 0.0000, 0.5000)  6 S 2.83-2.86
Nd (0.0000, 0.5000, 0.0000)  6 S 2.83-2.86
Nd (0.5000, 0.0000, 0.0000)  6 S 2.83-2.86
Zr (0.5000, 0.5000, 0.5000)  6 S 2.63
S (0.2326, 0.2326, 0.2326)  3 Nd 2.83
S (0.2536, 0.7160, 0.7160)  1 Zr 2.63, 2 Nd 2.86
S (0.2840, 0.2840, 0.7464)  1 Zr 2.63, 2 Nd 2.86
S (0.2840, 0.7464, 0.2840)  1 Zr 2.63, 2 Nd 2.86
S (0.7160, 0.2536, 0.7160)  1 Zr 2.63, 2 Nd 2.86
S (0.7160, 0.7160, 0.2536)  1 Zr 2.63, 2 Nd 2.86
S (0.7464, 0.2840, 0.2840)  1 Zr 2.63, 2 Nd 2.86
S (0.7674, 0.7674, 0.7674)  3 Nd 2.83

Output
- formation energy without anion corrections (eV per atom) = -1.7714
- Fermi-level density of states (states/eV/cell) = 0.00

=====

Below is a relaxed structure of TcTe2SI, with properties calculated at the PBE level.

Cell: 5.1349 5.1349 5.4760 Å, 90.00 90.00 90.00°
With the nearest neighbours (Å) after each atom.
Fractional coordinates of all 5 atoms:
Tc (0.0000, 0.0000, 0.0000)  4 Te 2.57, 2 I 2.74
Te (0.0000, 0.5000, 0.0000)  2 Tc 2.57
Te (0.5000, 0.0000, 0.0000)  2 Tc 2.57
S (0.5000, 0.5000, 0.5000)  4 I 3.63, 8 Te 3.75
I (0.0000, 0.0000, 0.5000)  2 Tc 2.74

Output
- formation energy without anion corrections (eV per atom) = 0.7102
- Fermi-level density of states (states/eV/cell) = 7.00

=====

| no. | volume (Å³/cell) | uncorrected energy (eV per formula unit) | total moment (μB/atom) |
| --- | --- | --- | --- |
| 1 | 279.8 | -35.59 | 0.000 |
| 2 | 92.3 | -16.14 | 0.000 |
| 3 | 458.5 | -85.35 | 0.000 |
| 4 | 144.4 | -18.78 | 0.000 |